No. 1
YSb2Mo | PBEsol | optimized geometry

```
4
Lattice="4.255 0.000 0.000 0.000 4.255 0.000 -2.127 -2.127 4.832" Properties=species:S:1:pos:R:3 pbc="T T T"
Sb 0.000 0.000 0.000
Sb 2.127 0.000 2.416
Y 2.127 2.127 0.000
Mo 0.000 2.127 2.416
```

Results
formation energy without anion corrections	-0.02	eV/atom
relative energy among the computed polymorphs	0	meV/atom



No. 2
YSb2Mo | PBEsol | optimized geometry

```
4
Lattice="3.425 0.000 0.000 1.712 2.966 0.000 1.712 0.989 9.241" Properties=species:S:1:pos:R:3 pbc="T T T"
Y 3.425 1.977 4.390
Sb 5.137 2.966 6.929
Sb 5.137 2.966 0.362
Mo 1.712 0.989 2.181
```

Results
formation energy without anion corrections	0.11	eV/atom
relative energy among the computed polymorphs	131	meV/atom



No. 3
YSbMo2 | PBEsol | optimized geometry

```
4
Lattice="3.230 0.000 0.000 0.000 3.230 0.000 0.000 0.000 7.672" Properties=species:S:1:pos:R:3 pbc="T T T"
Mo 0.000 0.000 0.355
Mo 1.615 1.615 1.708
Y 1.615 1.615 5.980
Sb 0.000 0.000 3.464
```

Results
formation energy without anion corrections	-0.03	eV/atom



No. 4
YSbMo2 | PBEsol | optimized geometry

```
4
Lattice="4.442 0.000 0.000 -2.221 4.409 0.030 0.000 2.212 3.852" Properties=species:S:1:pos:R:3 pbc="T T T"
Y 2.221 3.863 2.904
Mo 0.000 0.000 0.000
Mo 0.000 2.757 0.978
Sb 2.221 1.106 1.926
```

Results
formation energy without anion corrections	0.19	eV/atom